1.
The following is a DFT calculation (GGA-PBE) of an optimized crystal structure of Pm2Y3HoS6.

The structure belongs to space group C2/m (No. 12); the cell edges are 17.209, 3.938 and 7.945 Å and the angles 90.00°, 103.44° and 90.00°. The distinct sites, in fractional coordinates, are Pm at (0.168, 0.000, 0.336), Y at (0.000, 0.500, 0.500), Y at (0.169, 0.000, 0.833), Ho at (0.000, 0.500, 0.000), S at (0.003, 0.000, 0.754), S at (0.164, 0.500, 0.590) and S at (0.165, 0.500, 0.075).

For the volume, the calculation gives 21.82 A^3/atom. The density of states at the Fermi level is 5.3 states/eV/f.u.

=====

2.
The following is a DFT calculation (GGA-PBE) of an optimized crystal structure of PmYHo2S4.

The structure belongs to space group P2/m (No. 10); the cell edges are 6.812, 3.890 and 6.857 Å and the angles 90.00°, 108.97° and 90.00°. The distinct sites, in fractional coordinates, are Pm at (0.000, 0.000, 0.000), Y at (0.500, 0.500, 0.000), Ho at (0.000, 0.500, 0.500), Ho at (0.500, 0.000, 0.500), S at (0.252, 0.000, 0.743) and S at (0.258, 0.500, 0.261).

For the volume, the calculation gives 21.48 A^3/atom. The density of states at the Fermi level is 4.8 states/eV/f.u.

=====

3.
The following is a DFT calculation (GGA-PBE) of an optimized crystal structure of PmY4Ho3S8.

The structure belongs to space group R-3m (No. 166, hexagonal axes); the cell edges are 7.8470, 7.8470 and 19.1984 Å and the angles 90.00°, 90.00° and 120.00°. The distinct sites, in fractional coordinates, are Pm at (0.0000, 0.0000, 0.0000), Y at (0.0000, 0.0000, 0.5000), Y at (0.0000, 0.5000, 0.5000), Ho at (0.0000, 0.5000, 0.0000), S at (0.0000, 0.0000, 0.2512) and S at (0.0066, 0.5033, 0.2496).

For the volume, the calculation gives 21.33 A^3/atom. The density of states at the Fermi level is 9.2 states/eV/f.u.

=====

4.
The following is a DFT calculation (GGA-PBE) of an optimized crystal structure of Pm3YHo2S6.

The structure belongs to space group C2/m (No. 12); the cell edges are 6.823, 11.860 and 6.917 Å and the angles 90.00°, 109.25° and 90.00°. The distinct sites, in fractional coordinates, are Pm at (0.000, 0.000, 0.000), Pm at (0.000, 0.334, 0.000), Y at (0.000, 0.500, 0.500), Ho at (0.000, 0.167, 0.500), S at (0.243, 0.000, 0.736) and S at (0.246, 0.332, 0.737).

For the volume, the calculation gives 22.02 A^3/atom. The density of states at the Fermi level is 5.3 states/eV/f.u.

=====

5.
The following is a DFT calculation (GGA-PBE) of an optimized crystal structure of PmY3Ho2S6.

The structure belongs to space group C2/m (No. 12); the cell edges are 6.789, 11.805 and 6.796 Å and the angles 90.00°, 109.49° and 90.00°. The distinct sites, in fractional coordinates, are Pm at (0.000, 0.000, 0.000), Y at (0.000, 0.162, 0.500), Y at (0.000, 0.500, 0.500), Ho at (0.000, 0.334, 0.000), S at (0.241, 0.500, 0.249) and S at (0.245, 0.329, 0.748).

For the volume, the calculation gives 21.40 A^3/atom. The density of states at the Fermi level is 4.9 states/eV/f.u.

=====

6.
The following is a DFT calculation (GGA-PBE) of an optimized crystal structure of Pm2HoZnS5.

The structure belongs to space group Cmc2_1 (No. 36); the cell edges are 3.850, 16.875 and 11.920 Å and the angles 90.00°, 90.00° and 90.00°. The distinct sites, in fractional coordinates, are Pm at (0.000, 0.115, 0.000), Pm at (0.000, 0.132, 0.635), Ho at (0.000, 0.198, 0.332), Zn at (0.000, 0.455, 0.763), S at (0.000, 0.040, 0.369), S at (0.000, 0.291, 0.992), S at (0.000, 0.317, 0.671), S at (0.000, 0.356, 0.320) and S at (0.000, 0.493, 0.088).

For the volume, the calculation gives 21.51 A^3/atom. The density of states at the Fermi level is 0.8 states/eV/f.u.

=====

7.
The following is a DFT calculation (GGA-PBE) of an optimized crystal structure of Pm3HoSb4.

The structure belongs to space group Cmmm (No. 65); the cell edges are 8.925, 12.620 and 4.463 Å and the angles 90.00°, 90.00° and 90.00°. The distinct sites, in fractional coordinates, are Pm at (0.000, 0.000, 0.000), Pm at (0.250, 0.250, 0.500), Ho at (0.000, 0.500, 0.000), Sb at (0.000, 0.253, 0.000) and Sb at (0.245, 0.500, 0.500).

For the volume, the calculation gives 31.42 A^3/atom. The density of states at the Fermi level is 1.1 states/eV/f.u.

=====

8.
The following is a DFT calculation (GGA-PBE) of an optimized crystal structure of Pm5HoSb4.

The structure belongs to space group C2/m (No. 12); the cell edges are 19.030, 4.378 and 8.607 Å and the angles 90.00°, 105.12° and 90.00°. The distinct sites, in fractional coordinates, are Pm at (0.000, 0.000, 0.000), Pm at (0.165, 0.500, 0.327), Pm at (0.174, 0.500, 0.849), Ho at (0.000, 0.000, 0.500), Sb at (0.005, 0.500, 0.750) and Sb at (0.167, 0.000, 0.588).

For the volume, the calculation gives 34.61 A^3/atom. The density of states at the Fermi level is 6.7 states/eV/f.u.

=====

9.
The following is a DFT calculation (GGA-PBE) of an optimized crystal structure of Pm2Ho2Sb3.

The structure belongs to space group I2_13 (No. 199); the cell edges are 9.298, 9.298 and 9.298 Å and the angles 90.00°, 90.00° and 90.00°. The distinct sites, in fractional coordinates, are Pm at (0.074, 0.074, 0.074), Ho at (0.180, 0.320, 0.680) and Sb at (0.000, 0.250, 0.381).

For the volume, the calculation gives 28.71 A^3/atom. The density of states at the Fermi level is 7.0 states/eV/f.u. The value obtained for the energy relative to the lowest polymorph listed for this composition is 0 kJ/mol of formula units.

=====

10.
The following is a DFT calculation (GGA-PBE) of an optimized crystal structure of PmHo4Sb2.

The structure belongs to space group I4/mmm (No. 139); the cell edges are 5.263, 5.263 and 16.422 Å and the angles 90.00°, 90.00° and 90.00°. The distinct sites, in fractional coordinates, are Pm at (0.000, 0.000, 0.000), Ho at (0.000, 0.000, 0.184), Ho at (0.000, 0.500, 0.000) and Sb at (0.000, 0.000, 0.367).

For the volume, the calculation gives 32.49 A^3/atom. The density of states at the Fermi level is 6.9 states/eV/f.u.

=====

11.
The following is a DFT calculation (GGA-PBE) of an optimized crystal structure of Pm2Ho2Sb5.

The structure belongs to space group Cmce (No. 64); the cell edges are 15.933, 8.060 and 8.256 Å and the angles 90.00°, 90.00° and 90.00°. The distinct sites, in fractional coordinates, are Pm at (0.192, 0.000, 0.000), Ho at (0.000, 0.156, 0.339), Sb at (0.000, 0.000, 0.000) and Sb at (0.136, 0.144, 0.645).

For the volume, the calculation gives 29.45 A^3/atom. The density of states at the Fermi level is 6.5 states/eV/f.u.

=====

12.
The following is a DFT calculation (GGA-PBE) of an optimized crystal structure of Pm3Ho2Sb3.

The structure belongs to space group P6_3/mcm (No. 193); the cell edges are 9.1164, 9.1164 and 6.4123 Å and the angles 90.00°, 90.00° and 120.00°. The distinct sites, in fractional coordinates, are Pm at (0.0000, 0.2479, 0.2500), Ho at (0.3333, 0.6667, 0.0000) and Sb at (0.0000, 0.3924, 0.7500).

For the volume, the calculation gives 28.84 A^3/atom. The density of states at the Fermi level is 8.1 states/eV/f.u.

=====

13.
The following is a DFT calculation (GGA-PBE) of an optimized crystal structure of Pm5HoSb6.

The structure belongs to space group C2/m (No. 12); the cell edges are 7.746, 13.423 and 7.747 Å and the angles 90.00°, 109.48° and 90.00°. The distinct sites, in fractional coordinates, are Pm at (0.000, 0.000, 0.000), Pm at (0.000, 0.166, 0.500), Pm at (0.000, 0.332, 0.000), Ho at (0.000, 0.500, 0.500), Sb at (0.246, 0.500, 0.252) and Sb at (0.247, 0.335, 0.747).

For the volume, the calculation gives 31.64 A^3/atom. The density of states at the Fermi level is 1.9 states/eV/f.u.

=====

14.
The following is a DFT calculation (GGA-PBE) of an optimized crystal structure of PmHo5Sb4.

The structure belongs to space group C2/m (No. 12); the cell edges are 18.694, 4.322 and 8.446 Å and the angles 90.00°, 106.40° and 90.00°. The distinct sites, in fractional coordinates, are Pm at (0.000, 0.000, 0.000), Ho at (0.000, 0.000, 0.500), Ho at (0.161, 0.500, 0.824), Ho at (0.179, 0.500, 0.349), Sb at (0.010, 0.500, 0.265) and Sb at (0.172, 0.000, 0.089).

For the volume, the calculation gives 32.73 A^3/atom. The density of states at the Fermi level is 5.4 states/eV/f.u.

=====

15.
The following is a DFT calculation (GGA-PBE) of an optimized crystal structure of Pm5Ho3Sb8.

The structure belongs to space group R-3m (No. 166, hexagonal axes); the cell edges are 8.8959, 8.8959 and 21.7690 Å and the angles 90.00°, 90.00° and 120.00°. The distinct sites, in fractional coordinates, are Pm at (0.0000, 0.0000, 0.0000), Pm at (0.0000, 0.0000, 0.5000), Pm at (0.0000, 0.5000, 0.0000), Ho at (0.0000, 0.5000, 0.5000), Sb at (0.0000, 0.0000, 0.2473) and Sb at (0.0036, 0.5018, 0.7518).

For the volume, the calculation gives 31.08 A^3/atom. The density of states at the Fermi level is 2.3 states/eV/f.u.

=====

16.
The following is a DFT calculation (GGA-PBE) of an optimized crystal structure of Pm2Ho3Sb2.

The structure belongs to space group C2/m (No. 12); the cell edges are 12.166, 4.291 and 8.624 Å and the angles 90.00°, 109.84° and 90.00°. The distinct sites, in fractional coordinates, are Pm at (0.134, 0.000, 0.292), Ho at (0.000, 0.500, 0.500), Ho at (0.126, 0.500, 0.947) and Sb at (0.169, 0.000, 0.701).

For the volume, the calculation gives 30.25 A^3/atom. The density of states at the Fermi level is 8.4 states/eV/f.u.

=====

17.
The following is a DFT calculation (GGA-PBE) of an optimized crystal structure of PmHo3Sb2.

The structure belongs to space group C2/m (No. 12); the cell edges are 18.314, 4.328 and 9.701 Å and the angles 90.00°, 113.74° and 90.00°. The distinct sites, in fractional coordinates, are Pm at (0.111, 0.000, 0.120), Ho at (0.057, 0.000, 0.675), Ho at (0.143, 0.500, 0.476), Ho at (0.188, 0.500, 0.890), Sb at (0.011, 0.500, 0.845) and Sb at (0.247, 0.000, 0.715).

For the volume, the calculation gives 29.33 A^3/atom. The density of states at the Fermi level is 6.3 states/eV/f.u.

=====

18.
The following is a DFT calculation (GGA-PBE) of an optimized crystal structure of Pm4HoSb5.

The structure belongs to space group I4/mmm (No. 139); the cell edges are 4.469, 4.469 and 31.573 Å and the angles 90.00°, 90.00° and 90.00°. The distinct sites, in fractional coordinates, are Pm at (0.000, 0.000, 0.100), Pm at (0.000, 0.000, 0.301), Ho at (0.000, 0.000, 0.500), Sb at (0.000, 0.000, 0.000), Sb at (0.000, 0.000, 0.200) and Sb at (0.000, 0.000, 0.402).

For the volume, the calculation gives 31.54 A^3/atom. The density of states at the Fermi level is 1.2 states/eV/f.u.

=====

19.
The following is a DFT calculation (GGA-PBE) of an optimized crystal structure of PmHo2Sb3.

The structure belongs to space group Immm (No. 71); the cell edges are 4.411, 6.239 and 13.228 Å and the angles 90.00°, 90.00° and 90.00°. The distinct sites, in fractional coordinates, are Pm at (0.000, 0.000, 0.000), Ho at (0.000, 0.000, 0.335), Sb at (0.000, 0.500, 0.000) and Sb at (0.000, 0.500, 0.329).

For the volume, the calculation gives 30.34 A^3/atom. The density of states at the Fermi level is 1.2 states/eV/f.u.

=====

20.
The following is a DFT calculation (GGA-PBE) of an optimized crystal structure of Pm2Ho2Sb3.

The structure belongs to space group P-1 (No. 2); the cell edges are 4.354, 7.452 and 7.511 Å and the angles 81.82°, 89.99° and 73.06°. The distinct sites, in fractional coordinates, are Pm at (0.121, 0.259, 0.384), Ho at (0.375, 0.750, 0.123), Sb at (0.000, 0.500, 0.000) and Sb at (0.252, 0.994, 0.753).

For the volume, the calculation gives 32.94 A^3/atom. The density of states at the Fermi level is 2.8 states/eV/f.u. The value obtained for the energy relative to the lowest polymorph listed for this composition is 93 kJ/mol of formula units.

=====

21.
The following is a DFT calculation (GGA-PBE) of an optimized crystal structure of PmHo8Sb6.

The structure belongs to space group R-3 (No. 148, hexagonal axes); the cell edges are 8.0142, 8.0142 and 24.7166 Å and the angles 90.00°, 90.00° and 120.00°. The distinct sites, in fractional coordinates, are Pm at (0.0000, 0.0000, 0.0000), Ho at (0.0000, 0.0000, 0.3336), Ho at (0.0024, 0.6738, 0.1222) and Sb at (0.0017, 0.6608, 0.9314).

For the volume, the calculation gives 30.55 A^3/atom. The density of states at the Fermi level is 13.1 states/eV/f.u.

=====

| no. | formation energy (no corrections) (kJ per mole of atoms) |
| --- | --- |
| 1 | -193.5 |
| 2 | -192.2 |
| 3 | -191.6 |
| 4 | -194.4 |
| 5 | -192.7 |
| 6 | -168.4 |
| 7 | -112.4 |
| 8 | -75.3 |
| 9 | -97.2 |
| 10 | 27.7 |
| 11 | -84.1 |
| 12 | -91.5 |
| 13 | -113.1 |
| 14 | -68.5 |
| 15 | -111.5 |
| 16 | -62.7 |
| 17 | -66.5 |
| 18 | -112.8 |
| 19 | -109.3 |
| 20 | -83.9 |
| 21 | -72.1 |